# 1
# PBE-GGA Ac2Ni3C2, relaxed
data_Ac2Ni3C2
_chemical_formula_sum 'Ac2 Ni3 C2'
_cell_length_a 4.067
_cell_length_b 4.016
_cell_length_c 8.509
_cell_angle_alpha 90.00
_cell_angle_beta 103.77
_cell_angle_gamma 90.00
_space_group_name_H-M_alt 'P 1 2/m 1'
_space_group_IT_number 10
loop_
_space_group_symop_operation_xyz
'x,y,z'
'-x,-y,-z'
'-x,y,-z'
'x,-y,z'
loop_
_atom_site_label
_atom_site_type_symbol
_atom_site_fract_x
_atom_site_fract_y
_atom_site_fract_z
Ac1 Ac 0.121 0.000 0.244
Ni1 Ni 0.286 0.500 0.572
Ni2 Ni 0.500 0.500 0.000
C1 C 0.395 0.500 0.786
# ΔH_f (0 K) (kJ/mol of atoms): -3.1
# Calculated volume (Å³ per cell): 135.0
# Spin magnetization (μB/f.u.): 0.00

# 2
# PBE-GGA Ca4CrIr, relaxed
data_Ca4CrIr
_chemical_formula_sum 'Ca16 Cr4 Ir4'
_cell_length_a 8.644
_cell_length_b 8.644
_cell_length_c 8.644
_cell_angle_alpha 90.00
_cell_angle_beta 90.00
_cell_angle_gamma 90.00
_space_group_name_H-M_alt 'F -4 3 m'
_space_group_IT_number 216
_space_group_name_Hall 'F -4 2 3'
loop_
_atom_site_label
_atom_site_type_symbol
_atom_site_fract_x
_atom_site_fract_y
_atom_site_fract_z
Ca1 Ca 0.124 0.124 0.376
Cr1 Cr 0.000 0.000 0.000
Ir1 Ir 0.250 0.250 0.750
# ΔH_f (0 K) (kJ/mol of atoms): 90.4
# Calculated volume (Å³ per cell): 645.9
# Spin magnetization (μB/f.u.): 5.39